(1)
AcDy2YTm: relaxed, PBE.

a = 6.3383 Å, b = 5.8004 Å, c = 9.7711 Å
α = 90.00°, β = 108.34°, γ = 90.00°
Last column: nearest neighbours and their distance in Å.
Space group P2_1/m (No. 11)
Symmetry-distinct sites (fractional):
Ac 0.1349 0.2500 0.1078  3 Tm 3.63-3.92, 4 Y 3.63-3.82, 3 Dy 3.64-3.70, 2 Ac 3.68
Dy 0.2633 0.7500 0.6936  3 Tm 3.52-3.58, 4 Dy 3.56-3.68, 3 Y 3.57-3.87, 2 Ac 3.64-3.70
Dy 0.3369 0.2500 0.5019  4 Tm 3.56-3.62, 6 Dy 3.56-3.68, 1 Y 3.60, 1 Ac 3.66
Y 0.4817 0.7500 0.1101  4 Dy 3.57-3.87, 4 Ac 3.63-3.82, 2 Tm 3.64-3.75, 2 Y 3.66
Tm 0.0707 0.7500 0.3146  7 Dy 3.52-3.62, 3 Ac 3.63-3.92, 2 Y 3.64-3.75

**D(E_F)**: 17.97 states/eV/cell
**Raw total energy**: -4.808 eV/atom
**Magnetic moment**: 0.00 μB/f.u.

=====

(2)
Zn2Au: relaxed, PBE.

a = 8.8603 Å, b = 3.9038 Å, c = 5.7008 Å
α = 90.00°, β = 106.04°, γ = 90.00°
Last column: nearest neighbours and their distance in Å.
Space group C2/m (No. 12)
Symmetry-distinct sites (fractional):
Zn 0.0000 0.0000 0.0000  6 Au 2.78-2.94, 6 Zn 2.83-2.85
Zn 0.0000 0.0000 0.5000  4 Au 2.74, 8 Zn 2.81-2.85
Zn 0.1697 0.5000 0.3260  5 Au 2.73-2.91, 7 Zn 2.81-2.87
Au 0.1557 0.5000 0.8095  10 Zn 2.73-2.94, 2 Au 3.05

**D(E_F)**: 2.06 states/eV/cell
**Raw total energy**: -2.090 eV/atom
**Magnetic moment**: 0.00 μB/f.u.

=====

(3)
Zn4GaAg8: relaxed, PBE.

a = 9.2601 Å, b = 4.0408 Å, c = 11.7450 Å
α = 90.00°, β = 95.98°, γ = 90.00°
Last column: nearest neighbours and their distance in Å.
Space group C2/m (No. 12)
Symmetry-distinct sites (fractional):
Zn 0.1234 0.0000 0.1613  10 Ag 2.83-2.96, 2 Ga 2.92
Zn 0.1460 0.5000 0.5393  9 Ag 2.76-2.91, 3 Zn 2.76-3.00
Ga 0.0000 0.5000 0.0000  8 Ag 2.83-2.92, 4 Zn 2.92
Ag 0.0525 0.0000 0.3899  6 Zn 2.76-2.91, 6 Ag 2.86-2.91
Ag 0.0670 0.5000 0.7706  1 Ga 2.83, 4 Zn 2.85-2.89, 7 Ag 2.86-2.94
Ag 0.1889 0.0000 0.9248  5 Ag 2.84-2.95, 3 Ga 2.87-2.92, 4 Zn 2.90-2.96
Ag 0.2427 0.5000 0.3149  5 Zn 2.78-2.87, 7 Ag 2.88-2.95

**D(E_F)**: 6.59 states/eV/cell
**Raw total energy**: -2.395 eV/atom
**Magnetic moment**: 0.00 μB/f.u.

=====

(4)
CsMnC2: relaxed, PBE.

a = 6.0843 Å, b = 6.0843 Å, c = 6.0843 Å
α = 90.00°, β = 90.00°, γ = 90.00°
Last column: nearest neighbours and their distance in Å.
Space group Fm-3m (No. 225)
Symmetry-distinct sites (fractional):
Cs 0.0000 0.0000 0.0000  8 C 2.63
Mn 0.0000 0.0000 0.5000  8 C 2.63
C 0.2500 0.2500 0.2500  4 Cs 2.63, 4 Mn 2.63

**D(E_F)**: 32.61 states/eV/cell
**Raw total energy**: -3.783 eV/atom
**Magnetic moment**: 0.00 μB/f.u.

=====

(5)
DyYHo2S6: relaxed, PBE.

a = 6.8956 Å, b = 6.8956 Å, c = 18.4872 Å
α = 90.00°, β = 90.00°, γ = 120.00°
Last column: nearest neighbours and their distance in Å.
Space group R3 (No. 146, hexagonal axes)
Symmetry-distinct sites (fractional):
Dy 0.0000 0.0000 0.0000  6 S 2.72-2.79
Y 0.0000 0.0000 0.5000  6 S 2.72-2.79
Ho 0.0000 0.0000 0.2992  6 S 2.70-2.78
Ho 0.0000 0.0000 0.7993  6 S 2.70-2.77
S 0.0029 0.3026 0.3989  2 Ho 2.70-2.78, 1 Dy 2.72, 1 Y 2.79
S 0.0031 0.7009 0.8990  2 Ho 2.70-2.77, 1 Y 2.72, 1 Dy 2.79

**D(E_F)**: 0.00 states/eV/cell
**Raw total energy**: -6.562 eV/atom
**Magnetic moment**: 0.00 μB/f.u.
**Energy relative to the elements, uncorrected**: -2064 meV/atom

=====

(6)
Sm2YMg: relaxed, PBE.

a = 3.5723 Å, b = 3.5723 Å, c = 34.0667 Å
α = 90.00°, β = 90.00°, γ = 120.00°
Last column: nearest neighbours and their distance in Å.
Space group R-3m (No. 166, hexagonal axes)
Symmetry-distinct sites (fractional):
Sm 0.0000 0.0000 0.2473  3 Mg 3.43, 6 Sm 3.57, 3 Y 3.58
Y 0.0000 0.0000 0.0000  6 Y 3.57, 6 Sm 3.58
Mg 0.0000 0.0000 0.5000  6 Sm 3.43, 6 Mg 3.57

**D(E_F)**: 13.21 states/eV/cell
**Raw total energy**: -4.348 eV/atom
**Magnetic moment**: 0.00 μB/f.u.
**Energy above the most stable polymorph in this dataset**: 65 meV/atom